1.
# meta-GGA SCAN SrMgAu, single point on PBEsol structure
data_SrMgAu
_cell_length_a 4.6554
_cell_length_b 4.6554
_cell_length_c 4.3739
_cell_angle_alpha 90.00
_cell_angle_beta 90.00
_cell_angle_gamma 120.00
_space_group_name_H-M_alt 'P -6 m 2'
_space_group_IT_number 187
_space_group_name_Hall 'P -6 2'
loop_
_atom_site_label
_atom_site_fract_x
_atom_site_fract_y
_atom_site_fract_z
Sr1 0.0000 0.0000 0.0000
Mg1 0.3333 0.6667 0.5000
Au1 0.6667 0.3333 0.5000
# * DOS at the Fermi energy: 1.6 states/eV per cell
# * raw total energy: -98.459 eV for the cell shown
# * magnetization: 0.00 μB/cell
# * energy relative to the elements: -684 meV per atom

***

2.
# meta-GGA SCAN SrMg2Au, single point on PBEsol structure
data_SrMg2Au
_cell_length_a 4.7483
_cell_length_b 4.7483
_cell_length_c 16.5661
_cell_angle_alpha 90.00
_cell_angle_beta 90.00
_cell_angle_gamma 120.00
_space_group_name_H-M_alt 'R 3 m'
_space_group_IT_number 160
_space_group_name_Hall 'R 3 -2"'
loop_
_atom_site_label
_atom_site_fract_x
_atom_site_fract_y
_atom_site_fract_z
Sr1 0.0000 0.0000 0.0000
Mg1 0.0000 0.0000 0.2003
Mg2 0.0000 0.0000 0.4694
Au1 0.0000 0.0000 0.8079
# * DOS at the Fermi energy: 6.8 states/eV per cell
# * raw total energy: -310.563 eV for the cell shown
# * magnetization: 0.25 μB/cell
# * energy relative to the elements: -535 meV per atom

***

3.
# meta-GGA SCAN Sr2MgAu, single point on PBEsol structure
data_Sr2MgAu
_cell_length_a 3.8057
_cell_length_b 3.8057
_cell_length_c 8.4692
_cell_angle_alpha 90.00
_cell_angle_beta 90.00
_cell_angle_gamma 90.00
_space_group_name_H-M_alt 'P 4/m m m'
_space_group_IT_number 123
_space_group_name_Hall '-P 4 2'
loop_
_atom_site_label
_atom_site_fract_x
_atom_site_fract_y
_atom_site_fract_z
Sr1 0.0000 0.0000 0.2142
Mg1 0.5000 0.5000 0.5000
Au1 0.5000 0.5000 0.0000
# * DOS at the Fermi energy: 3.1 states/eV per cell
# * raw total energy: -120.584 eV for the cell shown
# * magnetization: 0.02 μB/cell
# * energy relative to the elements: -476 meV per atom

***

4.
# meta-GGA SCAN SrMg2Au, single point on PBEsol structure
data_SrMg2Au
_cell_length_a 4.9812
_cell_length_b 4.9812
_cell_length_c 7.2546
_cell_angle_alpha 90.00
_cell_angle_beta 90.00
_cell_angle_gamma 90.00
_space_group_name_H-M_alt 'I 4/m m m'
_space_group_IT_number 139
_space_group_name_Hall '-I 4 2'
loop_
_atom_site_label
_atom_site_fract_x
_atom_site_fract_y
_atom_site_fract_z
Sr1 0.0000 0.0000 0.0000
Mg1 0.0000 0.5000 0.2500
Au1 0.0000 0.0000 0.5000
# * DOS at the Fermi energy: 6.1 states/eV per cell
# * raw total energy: -205.256 eV for the cell shown
# * magnetization: 0.00 μB/cell
# * energy relative to the elements: -312 meV per atom